1.
VASP calculation (PBE-GGA) on an optimized crystal structure of LaPmHo2Tm2.

The raw total energy is -4.45 eV per atom. The magnetization is 0.00 μB/cell.

Lattice parameters (Å, degrees): 3.560 16.001 6.966 90.00 90.00 90.00
Fractional coordinates of all 12 atoms:
Pm1 0.000 0.000 0.500
Pm2 0.500 0.500 0.000
Tm1 0.500 0.157 0.251
Tm2 0.000 0.657 0.249
Tm3 0.000 0.343 0.751
Tm4 0.500 0.843 0.749
Ho1 0.000 0.659 0.751
Ho2 0.500 0.841 0.251
Ho3 0.000 0.341 0.249
Ho4 0.500 0.159 0.749
La1 0.500 0.500 0.500
La2 0.000 0.000 0.000

=====

2.
VASP calculation (PBE-GGA) on an optimized crystal structure of Sr2Zn12Au7.

The raw total energy is -2.33 eV per atom. The magnetization is 0.00 μB/cell.

Lattice parameters (Å, degrees): 4.340 10.220 10.220 120.00 90.00 90.00
Fractional coordinates of all 21 atoms:
Zn1 0.500 0.378 0.321
Zn2 0.500 0.679 0.057
Zn3 0.500 0.943 0.622
Zn4 0.500 0.523 0.746
Zn5 0.500 0.254 0.777
Zn6 0.000 0.040 0.506
Zn7 0.000 0.494 0.534
Zn8 0.000 0.900 0.181
Zn9 0.000 0.819 0.718
Zn10 0.000 0.466 0.960
Zn11 0.000 0.282 0.100
Zn12 0.500 0.223 0.477
Au1 0.000 0.106 0.802
Au2 0.500 0.426 0.087
Au3 0.500 0.913 0.339
Au4 0.000 0.696 0.894
Au5 0.000 0.333 0.667
Au6 0.500 0.661 0.574
Au7 0.000 0.198 0.304
Sr1 0.000 0.667 0.333
Sr2 0.500 0.000 0.000

=====

3.
VASP calculation (PBE-GGA) on an optimized crystal structure of MgAlSe2Br.

Its energy above the most stable polymorph in this dataset is 1.39 eV/f.u. The magnetization is 0.00 μB/cell. Its uncorrected formation energy is -0.092 eV per atom.

Lattice parameters (Å, degrees): 5.107 5.107 5.274 90.00 90.00 90.00
Fractional coordinates of all 5 atoms:
Mg1 0.000 0.000 0.000
Al1 0.500 0.500 0.500
Se1 0.500 0.000 0.000
Se2 0.000 0.500 0.000
Br1 0.000 0.000 0.500

=====

4.
VASP calculation (PBE-GGA) on an optimized crystal structure of DyHo2AlC.

The raw total energy is -5.75 eV per atom. The magnetization is 0.00 μB/cell.

Lattice parameters (Å, degrees): 4.885 4.856 4.856 90.00 90.00 90.00
Fractional coordinates of all 5 atoms:
Ho1 0.000 0.000 0.500
Ho2 0.000 0.500 0.000
C1 0.000 0.000 0.000
Dy1 0.500 0.000 0.000
Al1 0.500 0.500 0.500

=====

5.
VASP calculation (PBE-GGA) on an optimized crystal structure of Ca2NbH6.

The raw total energy is -4.07 eV per atom. The magnetization is 3.00 μB/cell.

Lattice parameters (Å, degrees): 5.342 5.342 5.342 60.00 60.00 60.00
Fractional coordinates of all 9 atoms:
H1 0.254 0.746 0.254
H2 0.746 0.254 0.746
H3 0.746 0.254 0.254
H4 0.254 0.254 0.746
H5 0.254 0.746 0.746
H6 0.746 0.746 0.254
Ca1 0.250 0.250 0.250
Ca2 0.750 0.750 0.750
Nb1 0.000 0.000 0.000

=====

6.
VASP calculation (PBE-GGA) on an optimized crystal structure of Ta4CdRe.

The raw total energy is -9.62 eV per atom. The magnetization is 0.00 μB/cell.

Lattice parameters (Å, degrees): 5.405 5.405 5.405 60.00 60.00 60.00
Fractional coordinates of all 6 atoms:
Re1 0.000 0.000 0.000
Ta1 0.374 0.878 0.374
Ta2 0.374 0.374 0.374
Ta3 0.878 0.374 0.374
Ta4 0.374 0.374 0.878
Cd1 0.750 0.750 0.750